Record 1
Density functional theory data (GGA-PBE) for a relaxed ZnIn2Cl4 crystal.

a b c (Å): 6.9678 7.1260 9.1315
angles (deg): 90.00 109.99 90.00
Last column: nearest neighbours and their distance in Å.
Space group P2_1/m (No. 11)
Symmetry-distinct sites (fractional):
Zn  0.2254  0.2500  0.2889 x2  4 Cl 2.28-2.29
In  0.2060  0.7500  0.5333 x2  4 Cl 3.07-3.24
In  0.2738  0.7500  0.0665 x2  6 Cl 3.21-3.45
Cl  0.0082  0.5019  0.2199 x4  1 Zn 2.29
Cl  0.4021  0.2500  0.5509 x2  1 Zn 2.29
Cl  0.4436  0.2500  0.1517 x2  1 Zn 2.28

Summary:
Raw total energy (eV per atom): -2.989
Calculated volume (Å³/f.u.): 213

Record 2
Density functional theory data (GGA-PBE) for a relaxed NbMoIr6 crystal.

a b c (Å): 5.5632 5.5632 4.4482
angles (deg): 90.00 90.00 120.00
Last column: nearest neighbours and their distance in Å.
Space group P-6m2 (No. 187)
Symmetry-distinct sites (fractional):
Nb  0.0000  0.0000  0.0000 x1  12 Ir 2.76-2.78
Mo  0.6667  0.3333  0.5000 x1  12 Ir 2.74-2.78
Ir  0.9995  0.4998  0.0000 x3  8 Ir 2.73-2.79, 2 Mo 2.74, 2 Nb 2.78
Ir  0.1700  0.3399  0.5000 x3  8 Ir 2.73-2.84, 2 Nb 2.76, 2 Mo 2.78

Summary:
Calculated volume (Å³/f.u.): 119
Energy of formation from the pure elements (eV/f.u.): -3.76
M_tot (μB per formula unit): 0.00

Record 3
Density functional theory data (GGA-PBE) for a relaxed SbMoAs crystal.

a b c (Å): 6.4344 6.4344 6.4344
angles (deg): 90.00 90.00 90.00
Last column: nearest neighbours and their distance in Å.
Space group F-43m (No. 216)
Symmetry-distinct sites (fractional):
Sb  0.0000  0.0000  0.0000 x4  4 Mo 2.79
Mo  0.2500  0.2500  0.7500 x4  4 Sb 2.79, 4 As 2.79
As  0.0000  0.0000  0.5000 x4  4 Mo 2.79

Summary:
Calculated volume (Å³/f.u.): 67
M_tot (μB per formula unit): 1.70
Excess energy over the best structure of this formula in the dataset (kJ/mol of atoms): 0.0

Record 4
Density functional theory data (GGA-PBE) for a relaxed Tm2Sc2O5 crystal.

a b c (Å): 3.7582 3.7582 9.1094
angles (deg): 90.00 90.00 90.00
Last column: nearest neighbours and their distance in Å.
Space group P4/mmm (No. 123)
Symmetry-distinct sites (fractional):
Tm  0.0000  0.0000  0.2419 x2  4 O 2.10
Sc  0.5000  0.5000  0.0000 x1  8 O 2.27
Sc  0.5000  0.5000  0.5000 x1  4 O 2.66
O  0.0000  0.0000  0.5000 x1  2 Tm 2.35
O  0.0000  0.5000  0.1400 x4  2 Tm 2.10, 2 Sc 2.27

Summary:
Calculated volume (Å³/f.u.): 129
M_tot (μB per formula unit): 1.86
Excess energy over the best structure of this formula in the dataset (kJ/mol of atoms): 2.2

Record 5
Density functional theory data (GGA-PBE) for a relaxed NaHoTe3Au crystal.

a b c (Å): 11.1772 4.1607 15.2859
angles (deg): 90.00 90.00 90.00
Last column: nearest neighbours and their distance in Å.
Space group Pnma (No. 62)
Symmetry-distinct sites (fractional):
Na  0.2268  0.2500  0.0234 x4  7 Te 3.26-3.60, 2 Au 3.64
Ho  0.0193  0.7500  0.7466 x4  6 Te 3.07-3.13
Te  0.0373  0.7500  0.1117 x4  1 Au 2.77, 2 Ho 3.07
Te  0.0723  0.2500  0.6040 x4  1 Au 2.75, 2 Ho 3.07
Te  0.2322  0.2500  0.3413 x4  2 Au 2.80, 2 Ho 3.12-3.13
Au  0.2379  0.7500  0.2185 x4  4 Te 2.75-2.80

Summary:
Raw total energy (eV per atom): -3.935
Calculated volume (Å³/f.u.): 178
M_tot (μB per formula unit): 0.00

Record 6
Density functional theory data (GGA-PBE) for a relaxed Ho2ErLu crystal.

a b c (Å): 5.5362 7.1210 12.3343
angles (deg): 90.00 90.00 90.00
Last column: nearest neighbours and their distance in Å.
Space group Amm2 (No. 38)
Symmetry-distinct sites (fractional):
Ho  0.0000  0.0000  0.0000 x2  4 Lu 3.45, 4 Er 3.45-3.56, 4 Ho 3.56
Ho  0.0000  0.2498  0.2501 x4  2 Lu 3.45, 4 Er 3.45-3.56, 6 Ho 3.45-3.56
Ho  0.5000  0.0000  0.6670 x2  4 Ho 3.45, 4 Er 3.45-3.56, 4 Lu 3.55-3.57
Er  0.0000  0.0000  0.4999 x2  4 Lu 3.45, 8 Ho 3.45-3.56
Er  0.5000  0.0000  0.1671 x2  8 Ho 3.45-3.56, 4 Lu 3.55-3.57
Lu  0.5000  0.2499  0.4163 x4  6 Ho 3.45-3.57, 4 Er 3.45-3.57, 2 Lu 3.56

Summary:
Calculated volume (Å³/f.u.): 122
Energy of formation from the pure elements (eV/f.u.): 0.01
M_tot (μB per formula unit): 0.11

Record 7
Density functional theory data (GGA-PBE) for a relaxed LiTh2Se6 crystal.

a b c (Å): 4.1551 5.5713 20.6464
angles (deg): 90.00 90.00 90.00
Last column: nearest neighbours and their distance in Å.
Space group Immm (No. 71)
Symmetry-distinct sites (fractional):
Li  0.0000  0.0000  0.0000 x2  8 Se 3.12
Th  0.0000  0.5000  0.1712 x4  8 Se 2.98-3.01
Se  0.0000  0.0000  0.2256 x4  4 Th 2.98-3.00
Se  0.0000  0.2487  0.4098 x8  2 Se 2.77-2.80, 2 Th 3.01

Summary:
Raw total energy (eV per atom): -5.566
Calculated volume (Å³/f.u.): 239
M_tot (μB per formula unit): 0.00

Record 8
Density functional theory data (GGA-PBE) for a relaxed Ba6Fe25S27 crystal.

a b c (Å): 9.8203 9.8203 9.8203
angles (deg): 90.00 90.00 90.00
Last column: nearest neighbours and their distance in Å.
Space group Pm-3m (No. 221)
Symmetry-distinct sites (fractional):
Ba  0.0000  0.0000  0.3066 x6  9 S 3.01-3.21
Fe  0.1404  0.3670  0.3670 x24  4 S 2.15-2.21
Fe  0.5000  0.5000  0.5000 x1  6 S 2.31
S  0.0000  0.0000  0.0000 x1  6 Ba 3.01
S  0.0000  0.2563  0.5000 x12  4 Fe 2.19
S  0.2236  0.2236  0.2236 x8  3 Fe 2.15
S  0.2643  0.5000  0.5000 x6  5 Fe 2.21-2.31

Summary:
Raw total energy (eV per atom): -6.384
Calculated volume (Å³/f.u.): 947
M_tot (μB per formula unit): 10.04

Record 9
Density functional theory data (GGA-PBE) for a relaxed AsOsPdO crystal.

a b c (Å): 3.7528 6.1924 5.4125
angles (deg): 90.00 90.00 90.00
Last column: nearest neighbours and their distance in Å.
Space group Pmc2_1 (No. 26)
Symmetry-distinct sites (fractional):
As  0.0000  0.2147  0.0000 x2  2 Pd 2.41, 2 Os 2.45-2.53
Os  0.0000  0.3967  0.5811 x2  2 O 1.88
Pd  0.5000  0.0263  0.5365 x2  1 O 2.27, 2 As 2.41
O  0.5000  0.3924  0.5705 x2  2 Os 1.88

Summary:
Calculated volume (Å³/f.u.): 63
M_tot (μB per formula unit): 0.00
Excess energy over the best structure of this formula in the dataset (kJ/mol of atoms): 0.0

Record 10
Density functional theory data (GGA-PBE) for a relaxed LiTaNbTc crystal.

a b c (Å): 6.3360 6.3360 6.3360
angles (deg): 90.00 90.00 90.00
Last column: nearest neighbours and their distance in Å.
Space group F-43m (No. 216)
Symmetry-distinct sites (fractional):
Li  0.0000  0.0000  0.0000 x4  4 Nb 2.74, 4 Ta 2.74
Ta  0.2500  0.2500  0.7500 x4  4 Li 2.74, 4 Tc 2.74
Nb  0.2500  0.2500  0.2500 x4  4 Li 2.74, 4 Tc 2.74
Tc  0.0000  0.0000  0.5000 x4  4 Ta 2.74, 4 Nb 2.74

Summary:
Calculated volume (Å³/f.u.): 64
M_tot (μB per formula unit): 0.00
Excess energy over the best structure of this formula in the dataset (kJ/mol of atoms): 0.0

Record 11
Density functional theory data (GGA-PBE) for a relaxed CsTa6Zn crystal.

a b c (Å): 8.5658 8.5658 7.7733
angles (deg): 90.00 90.00 120.00
Last column: nearest neighbours and their distance in Å.
Space group R-3 (No. 148, hexagonal axes)
Symmetry-distinct sites (fractional):
Cs  0.0000  0.0000  0.0000 x3  6 Ta 3.06
Ta  0.0180  0.7388  0.6725 x18  1 Zn 2.68, 3 Ta 2.76-2.77
Zn  0.0000  0.0000  0.5000 x3  6 Ta 2.68

Summary:
Raw total energy (eV per atom): -8.096
Calculated volume (Å³/f.u.): 165
M_tot (μB per formula unit): 0.01

Record 12
Density functional theory data (GGA-PBE) for a relaxed Na4BiPt2Pb crystal.

a b c (Å): 4.9027 4.9027 6.9350
angles (deg): 90.00 90.00 90.00
Last column: nearest neighbours and their distance in Å.
Space group P-4m2 (No. 115)
Symmetry-distinct sites (fractional):
Na  0.0000  0.0000  0.0000 x1  4 Pt 3.00, 4 Na 3.01
Na  0.0000  0.5000  0.7482 x2  4 Na 3.00-3.01, 2 Pb 3.00, 2 Bi 3.01
Na  0.5000  0.5000  0.5000 x1  4 Na 3.00, 4 Pt 3.00
Bi  0.5000  0.5000  0.0000 x1  4 Pt 3.00, 4 Na 3.01
Pt  0.0000  0.5000  0.2502 x2  4 Na 3.00, 2 Pb 3.00, 2 Bi 3.00
Pb  0.0000  0.0000  0.5000 x1  4 Na 3.00, 4 Pt 3.00

Summary:
Raw total energy (eV per atom): -3.368
Calculated volume (Å³/f.u.): 167
M_tot (μB per formula unit): 0.01